## Ni2As4F (PBE+U)

Data for Ni2As4F after structural relaxation.

```
Ni2As4F
1.0
-0.859 -3.724 -1.931
2.305 1.228 -3.393
6.394 -4.031 0.183
Ni F As
2 1 4
Cartesian
6.152 -4.806 -2.963
1.688 -1.722 -2.178
0.000 0.000 0.000
4.302 -3.898 -3.892
-0.429 -1.862 -0.965
1.153 0.614 -1.697
3.539 -2.630 -1.249
```

Summary:
**Total magnetic moment**: 0.002 μB/f.u.
**Total DFT energy (no corrections)**: -3.256 eV per atom
**Volume**: 18.1 Å³/atom
**Crystal system**: tetragonal
**DOS(E_F)**: 4.80 states/eV per cell